Entry from the Alexandria database: a relaxed structure of AcPH2Ru2 (GGA-PBE).

As for the total magnetization: 0.0 μB per formula unit. For the total energy, the calculation gives -6.2529 eV/atom.

The structure belongs to space group Cmcm (No. 63); the cell edges are 5.8257, 10.6318 and 5.7618 Å and the angles 90.00°, 90.00° and 90.00°. The distinct sites, in fractional coordinates, are Ac at (0.0000, 0.2466, 0.2500), P at (0.0000, 0.0986, 0.7500), H at (0.1628, 0.4112, 0.7500) and Ru at (0.2371, 0.5000, 0.0000).